[1]
Material: Th2CoGePd
Method: DFT, PBE
State: relaxed

Summary:
N(E_F): 10.8 states/eV per cell
space-group type: P2_1/m, No. 11
crystal system: monoclinic
calculated total energy: -6.943 eV/atom
calculated formation energy: -592 meV/atom

The structure in POSCAR format:
```
Th2CoGePd
1.0
7.211 0.000 0.000
0.000 4.256 0.000
-3.012 0.000 7.196
Th Co Ge Pd
4 2 2 2
direct
0.168 0.250 0.373
0.271 0.250 0.939
0.729 0.750 0.061
0.832 0.750 0.627
0.091 0.750 0.077
0.909 0.250 0.923
0.436 0.750 0.279
0.564 0.250 0.721
0.317 0.750 0.675
0.683 0.250 0.325
```

[2]
Material: Co2GeHIr
Method: DFT, PBE
State: relaxed

Summary:
N(E_F): 3.6 states/eV per cell
space-group type: P4/mmm, No. 123
crystal system: tetragonal
calculated total energy: -6.263 eV/atom

The structure in POSCAR format:
```
Co2GeHIr
1.0
3.693 0.000 0.000
0.000 3.693 0.000
0.000 0.000 3.801
Co Ge H Ir
2 1 1 1
direct
0.000 0.500 0.000
0.500 0.000 0.000
0.000 0.000 0.500
0.500 0.500 0.000
0.500 0.500 0.500
```